A plane-wave DFT calculation with GGA-PBE was carried out for a geometry-optimized YTl3B structure.

Geometry as CIF:
```
data_YTl3B
_chemical_formula_sum 'Y1 Tl3 B1'
_symmetry_space_group_name_H-M 'P 1'
_symmetry_Int_Tables_number 1
_cell_length_a 5.918
_cell_length_b 5.918
_cell_length_c 5.918
_cell_angle_alpha 90.00
_cell_angle_beta 90.00
_cell_angle_gamma 90.00
loop_
_symmetry_equiv_pos_as_xyz
'x,y,z'
loop_
_atom_site_label
_atom_site_type_symbol
_atom_site_fract_x
_atom_site_fract_y
_atom_site_fract_z
Y1 Y 0.000 0.000 0.000
Tl1 Tl 0.000 0.000 0.500
Tl2 Tl 0.000 0.500 0.000
Tl3 Tl 0.500 0.000 0.000
B1 B 0.500 0.500 0.500
```

Values from the calculation:
- energy relative to the elements (eV/atom) = 1.4391
- energy relative to the lowest polymorph listed for this composition (eV/f.u.) = 4.405
- calculated total energy (eV per atom) = -2.61

=====

A plane-wave DFT calculation with GGA-PBE was carried out for a geometry-optimized ErP2Ru structure.

Geometry as CIF:
```
data_ErP2Ru
_chemical_formula_sum 'Er1 P2 Ru1'
_symmetry_space_group_name_H-M 'P 1'
_symmetry_Int_Tables_number 1
_cell_length_a 5.832
_cell_length_b 5.832
_cell_length_c 5.832
_cell_angle_alpha 38.27
_cell_angle_beta 38.27
_cell_angle_gamma 38.27
loop_
_symmetry_equiv_pos_as_xyz
'x,y,z'
loop_
_atom_site_label
_atom_site_type_symbol
_atom_site_fract_x
_atom_site_fract_y
_atom_site_fract_z
Er1 Er 0.000 0.000 0.000
P1 P 0.231 0.231 0.231
P2 P 0.769 0.769 0.769
Ru1 Ru 0.500 0.500 0.500
```

Values from the calculation:
- energy relative to the elements (eV/atom) = -0.8964
- calculated total energy (eV per atom) = -7.06

=====

A plane-wave DFT calculation with GGA-PBE was carried out for a geometry-optimized Na2ZrInSe4 structure.

Geometry as CIF:
```
data_Na2ZrInSe4
_chemical_formula_sum 'Na2 Zr1 In1 Se4'
_symmetry_space_group_name_H-M 'P 1'
_symmetry_Int_Tables_number 1
_cell_length_a 7.203
_cell_length_b 3.973
_cell_length_c 7.278
_cell_angle_alpha 90.00
_cell_angle_beta 108.05
_cell_angle_gamma 90.00
loop_
_symmetry_equiv_pos_as_xyz
'x,y,z'
loop_
_atom_site_label
_atom_site_type_symbol
_atom_site_fract_x
_atom_site_fract_y
_atom_site_fract_z
Na1 Na 0.000 0.000 0.000
Na2 Na 0.500 0.500 0.000
Zr1 Zr 0.000 0.500 0.500
In1 In 0.500 0.000 0.500
Se1 Se 0.231 0.000 0.722
Se2 Se 0.243 0.500 0.279
Se3 Se 0.757 0.500 0.721
Se4 Se 0.769 0.000 0.278
```

Values from the calculation:
- calculated total energy (eV per atom) = -4.55

=====

A plane-wave DFT calculation with GGA-PBE was carried out for a geometry-optimized LaBiW2 structure.

Geometry as CIF:
```
data_LaBiW2
_chemical_formula_sum 'La2 Bi2 W4'
_symmetry_space_group_name_H-M 'P 1'
_symmetry_Int_Tables_number 1
_cell_length_a 6.519
_cell_length_b 6.519
_cell_length_c 6.519
_cell_angle_alpha 101.94
_cell_angle_beta 101.94
_cell_angle_gamma 125.89
loop_
_symmetry_equiv_pos_as_xyz
'x,y,z'
loop_
_atom_site_label
_atom_site_type_symbol
_atom_site_fract_x
_atom_site_fract_y
_atom_site_fract_z
La1 La 0.000 0.000 0.000
La2 La 0.750 0.250 0.500
Bi1 Bi 0.250 0.750 0.500
Bi2 Bi 0.500 0.500 0.000
W1 W 0.164 0.625 0.039
W2 W 0.375 0.414 0.539
W3 W 0.586 0.125 0.961
W4 W 0.875 0.836 0.461
```

Values from the calculation:
- energy relative to the elements (eV/atom) = 1.4649
- calculated total energy (eV per atom) = -7.21

=====

A plane-wave DFT calculation with GGA-PBE was carried out for a geometry-optimized LiRe2AuO structure.

Geometry as CIF:
```
data_LiRe2AuO
_chemical_formula_sum 'Li1 Re2 Au1 O1'
_symmetry_space_group_name_H-M 'P 1'
_symmetry_Int_Tables_number 1
_cell_length_a 4.018
_cell_length_b 4.018
_cell_length_c 4.180
_cell_angle_alpha 90.00
_cell_angle_beta 90.00
_cell_angle_gamma 90.00
loop_
_symmetry_equiv_pos_as_xyz
'x,y,z'
loop_
_atom_site_label
_atom_site_type_symbol
_atom_site_fract_x
_atom_site_fract_y
_atom_site_fract_z
Li1 Li 0.000 0.000 0.000
Re1 Re 0.000 0.500 0.500
Re2 Re 0.500 0.000 0.500
Au1 Au 0.500 0.500 0.000
O1 O 0.000 0.000 0.500
```

Values from the calculation:
- calculated total energy (eV per atom) = -6.96

=====

A plane-wave DFT calculation with GGA-PBE was carried out for a geometry-optimized ScRh structure.

Geometry as CIF:
```
data_ScRh
_chemical_formula_sum 'Sc3 Rh3'
_symmetry_space_group_name_H-M 'P 1'
_symmetry_Int_Tables_number 1
_cell_length_a 7.185
_cell_length_b 7.185
_cell_length_c 7.185
_cell_angle_alpha 155.13
_cell_angle_beta 50.37
_cell_angle_gamma 136.93
loop_
_symmetry_equiv_pos_as_xyz
'x,y,z'
loop_
_atom_site_label
_atom_site_type_symbol
_atom_site_fract_x
_atom_site_fract_y
_atom_site_fract_z
Sc1 Sc 0.000 0.000 0.000
Sc2 Sc 0.503 0.181 0.321
Sc3 Sc 0.860 0.181 0.679
Rh1 Rh 0.040 0.688 0.352
Rh2 Rh 0.337 0.688 0.648
Rh3 Rh 0.523 0.523 0.000
```

Values from the calculation:
- energy relative to the elements (eV/atom) = -0.7049
- calculated total energy (eV per atom) = -7.55

=====

A plane-wave DFT calculation with GGA-PBE was carried out for a geometry-optimized BaPdW2 structure.

Geometry as CIF:
```
data_BaPdW2
_chemical_formula_sum 'Ba2 Pd2 W4'
_symmetry_space_group_name_H-M 'P 1'
_symmetry_Int_Tables_number 1
_cell_length_a 10.085
_cell_length_b 10.085
_cell_length_c 10.085
_cell_angle_alpha 152.01
_cell_angle_beta 152.01
_cell_angle_gamma 39.99
loop_
_symmetry_equiv_pos_as_xyz
'x,y,z'
loop_
_atom_site_label
_atom_site_type_symbol
_atom_site_fract_x
_atom_site_fract_y
_atom_site_fract_z
Ba1 Ba 0.375 0.625 0.750
Ba2 Ba 0.625 0.375 0.250
Pd1 Pd 0.125 0.875 0.250
Pd2 Pd 0.875 0.125 0.750
W1 W 0.000 0.000 0.000
W2 W 0.000 0.000 0.500
W3 W 0.000 0.500 0.000
W4 W 0.500 0.000 0.500
```

Values from the calculation:
- energy relative to the elements (eV/atom) = 1.2163
- energy relative to the lowest polymorph listed for this composition (eV/f.u.) = 0.000
- calculated total energy (eV per atom) = -7.04

=====

A plane-wave DFT calculation with GGA-PBE was carried out for a geometry-optimized DyHoAg structure.

Geometry as CIF:
```
data_DyHoAg
_chemical_formula_sum 'Dy1 Ho1 Ag1'
_symmetry_space_group_name_H-M 'P 1'
_symmetry_Int_Tables_number 1
_cell_length_a 5.040
_cell_length_b 5.040
_cell_length_c 3.635
_cell_angle_alpha 90.00
_cell_angle_beta 90.00
_cell_angle_gamma 120.00
loop_
_symmetry_equiv_pos_as_xyz
'x,y,z'
loop_
_atom_site_label
_atom_site_type_symbol
_atom_site_fract_x
_atom_site_fract_y
_atom_site_fract_z
Dy1 Dy 0.000 0.000 0.000
Ho1 Ho 0.333 0.667 0.541
Ag1 Ag 0.667 0.333 0.277
```

Values from the calculation:
- energy relative to the elements (eV/atom) = -0.0379
- energy relative to the lowest polymorph listed for this composition (eV/f.u.) = 0.489
- calculated total energy (eV per atom) = -4.05